Entry 1:
## CaAs2WO7 (GGA-PBEsol)

Data for an optimized crystal structure of CaAs2WO7.

```
data_CaAs2WO7
_chemical_formula_sum 'Ca4 As8 W4 O28'
_cell_length_a 8.155
_cell_length_b 9.161
_cell_length_c 9.584
_cell_angle_alpha 108.70
_cell_angle_beta 90.00
_cell_angle_gamma 90.00
_space_group_name_H-M_alt 'P 1'
_space_group_IT_number 1
_space_group_name_Hall 'P 1'
loop_
_atom_site_label
_atom_site_type_symbol
_atom_site_fract_x
_atom_site_fract_y
_atom_site_fract_z
O1 O 0.411 0.831 0.838
O2 O 0.693 0.204 0.907
O3 O 0.307 0.796 0.093
O4 O 0.585 0.688 0.621
O5 O 0.335 0.287 0.044
O6 O 0.141 0.025 0.317
O7 O 0.086 0.393 0.878
O8 O 0.414 0.893 0.378
O9 O 0.085 0.812 0.879
O10 O 0.089 0.331 0.338
O11 O 0.807 0.704 0.407
O12 O 0.165 0.787 0.544
O13 O 0.415 0.312 0.379
O14 O 0.819 0.968 0.221
O15 O 0.359 0.525 0.817
O16 O 0.181 0.032 0.779
O17 O 0.665 0.713 0.956
O18 O 0.681 0.468 0.721
O19 O 0.914 0.607 0.122
O20 O 0.915 0.188 0.121
O21 O 0.319 0.532 0.279
O22 O 0.835 0.213 0.456
O23 O 0.641 0.475 0.183
O24 O 0.586 0.107 0.622
O25 O 0.911 0.669 0.662
O26 O 0.193 0.296 0.593
O27 O 0.589 0.169 0.162
O28 O 0.859 0.975 0.683
As1 As 0.265 0.321 0.783
As2 As 0.765 0.179 0.717
As3 As 0.769 0.581 0.516
As4 As 0.269 0.919 0.984
As5 As 0.731 0.081 0.016
As6 As 0.231 0.419 0.484
As7 As 0.735 0.679 0.217
As8 As 0.235 0.821 0.283
W1 W 0.044 0.871 0.703
W2 W 0.544 0.629 0.797
W3 W 0.456 0.371 0.203
W4 W 0.956 0.129 0.297
Ca1 Ca 0.577 0.094 0.377
Ca2 Ca 0.077 0.406 0.123
Ca3 Ca 0.423 0.906 0.623
Ca4 Ca 0.923 0.594 0.877
```

Properties
DOS at the Fermi energy in states/eV/atom: 0.00
Uncorrected energy in eV/atom: -7.59
Crystal system: monoclinic

=====

Entry 2:
## Ca2Zn4As4O17 (GGA-PBEsol)

Data for an optimized crystal structure of Ca2Zn4As4O17.

```
data_Ca2Zn4As4O17
_chemical_formula_sum 'Ca4 Zn8 As8 O34'
_cell_length_a 7.630
_cell_length_b 9.868
_cell_length_c 10.480
_cell_angle_alpha 102.06
_cell_angle_beta 111.35
_cell_angle_gamma 90.00
_space_group_name_H-M_alt 'P 1'
_space_group_IT_number 1
_space_group_name_Hall 'P 1'
loop_
_atom_site_label
_atom_site_type_symbol
_atom_site_fract_x
_atom_site_fract_y
_atom_site_fract_z
O1 O 0.450 0.117 0.460
O2 O 0.990 0.383 0.540
O3 O 0.689 0.465 0.211
O4 O 0.624 0.366 0.665
O5 O 0.147 0.874 0.440
O6 O 0.775 0.067 0.056
O7 O 0.976 0.609 0.832
O8 O 0.522 0.965 0.211
O9 O 0.042 0.866 0.665
O10 O 0.078 0.342 0.843
O11 O 0.779 0.824 0.379
O12 O 0.024 0.391 0.168
O13 O 0.766 0.842 0.843
O14 O 0.144 0.891 0.168
O15 O 0.376 0.634 0.335
O16 O 0.856 0.109 0.832
O17 O 0.922 0.658 0.157
O18 O 0.281 0.567 0.056
O19 O 0.478 0.035 0.789
O20 O 0.234 0.158 0.157
O21 O 0.311 0.535 0.789
O22 O 0.293 0.374 0.440
O23 O 0.010 0.617 0.460
O24 O 0.958 0.134 0.335
O25 O 0.399 0.676 0.621
O26 O 0.221 0.176 0.621
O27 O 0.225 0.933 0.944
O28 O 0.707 0.626 0.560
O29 O 0.601 0.324 0.379
O30 O 0.853 0.126 0.560
O31 O 0.550 0.883 0.540
O32 O 0.316 0.250 0.000
O33 O 0.684 0.750 0.000
O34 O 0.719 0.433 0.944
As1 As 0.995 0.793 0.492
As2 As 0.497 0.293 0.492
As3 As 0.831 0.486 0.123
As4 As 0.169 0.514 0.877
As5 As 0.708 0.014 0.877
As6 As 0.292 0.986 0.123
As7 As 0.005 0.207 0.508
As8 As 0.503 0.707 0.508
Zn1 Zn 0.992 0.202 0.185
Zn2 Zn 0.641 0.988 0.426
Zn3 Zn 0.807 0.298 0.815
Zn4 Zn 0.193 0.702 0.185
Zn5 Zn 0.359 0.012 0.574
Zn6 Zn 0.215 0.512 0.574
Zn7 Zn 0.785 0.488 0.426
Zn8 Zn 0.008 0.798 0.815
Ca1 Ca 0.360 0.406 0.208
Ca2 Ca 0.640 0.594 0.792
Ca3 Ca 0.848 0.906 0.208
Ca4 Ca 0.152 0.094 0.792
```

Properties
DOS at the Fermi energy in states/eV/atom: 0.10
Uncorrected energy in eV/atom: -5.97
Crystal system: monoclinic

=====

Entry 3:
## Ca2AsOs (GGA-PBEsol)

Data for an optimized crystal structure of Ca2AsOs.

```
data_Ca2AsOs
_chemical_formula_sum 'Ca2 As1 Os1'
_cell_length_a 3.310
_cell_length_b 4.968
_cell_length_c 5.732
_cell_angle_alpha 108.41
_cell_angle_beta 106.78
_cell_angle_gamma 90.00
_space_group_name_H-M_alt 'P 1'
_space_group_IT_number 1
_space_group_name_Hall 'P 1'
loop_
_atom_site_label
_atom_site_type_symbol
_atom_site_fract_x
_atom_site_fract_y
_atom_site_fract_z
Ca1 Ca 0.026 0.048 0.052
Ca2 Ca 0.225 0.706 0.450
Os1 Os 0.456 0.486 0.913
As1 As 0.792 0.260 0.585
```

Properties
DOS at the Fermi energy in states/eV/atom: 1.04
DFT formation energy in eV per atom: -0.170
Crystal system: monoclinic

=====

Entry 4:
## Ca2AsOs (GGA-PBEsol)

Data for an optimized crystal structure of Ca2AsOs.

```
data_Ca2AsOs
_chemical_formula_sum 'Ca2 As1 Os1'
_cell_length_a 3.262
_cell_length_b 3.262
_cell_length_c 9.180
_cell_angle_alpha 79.77
_cell_angle_beta 79.77
_cell_angle_gamma 60.00
_space_group_name_H-M_alt 'P 1'
_space_group_IT_number 1
_space_group_name_Hall 'P 1'
loop_
_atom_site_label
_atom_site_type_symbol
_atom_site_fract_x
_atom_site_fract_y
_atom_site_fract_z
Ca1 Ca 0.246 0.246 0.262
Ca2 Ca 0.754 0.754 0.738
Os1 Os 0.500 0.500 0.500
As1 As 0.000 0.000 0.000
```

Properties
DOS at the Fermi energy in states/eV/atom: 0.76
DFT formation energy in eV per atom: 0.197
Crystal system: trigonal

=====

Entry 5:
## CaAsOs2 (GGA-PBEsol)

Data for an optimized crystal structure of CaAsOs2.

```
data_CaAsOs2
_chemical_formula_sum 'Ca1 As1 Os2'
_cell_length_a 2.861
_cell_length_b 4.133
_cell_length_c 6.043
_cell_angle_alpha 90.00
_cell_angle_beta 100.90
_cell_angle_gamma 90.00
_space_group_name_H-M_alt 'P 1'
_space_group_IT_number 1
_space_group_name_Hall 'P 1'
loop_
_atom_site_label
_atom_site_type_symbol
_atom_site_fract_x
_atom_site_fract_y
_atom_site_fract_z
As1 As 0.612 0.000 0.464
Os1 Os 0.627 0.500 0.217
Os2 Os 0.029 0.000 0.085
Ca1 Ca 0.233 0.500 0.735
```

Properties
DOS at the Fermi energy in states/eV/atom: 0.79
DFT formation energy in eV per atom: 0.180
Crystal system: monoclinic

=====

Entry 6:
## CaAs2Os (GGA-PBEsol)

Data for an optimized crystal structure of CaAs2Os.

```
data_CaAs2Os
_chemical_formula_sum 'Ca1 As2 Os1'
_cell_length_a 4.179
_cell_length_b 4.179
_cell_length_c 5.496
_cell_angle_alpha 67.66
_cell_angle_beta 67.66
_cell_angle_gamma 60.00
_space_group_name_H-M_alt 'P 1'
_space_group_IT_number 1
_space_group_name_Hall 'P 1'
loop_
_atom_site_label
_atom_site_type_symbol
_atom_site_fract_x
_atom_site_fract_y
_atom_site_fract_z
As1 As 0.720 0.720 0.840
As2 As 0.280 0.280 0.160
Ca1 Ca 0.500 0.500 0.500
Os1 Os 0.000 0.000 0.000
```

Properties
DOS at the Fermi energy in states/eV/atom: 0.42
DFT formation energy in eV per atom: -0.429
Crystal system: trigonal